First-principles (PBE) data for crystalline EuAgBi at its relaxed geometry, as listed in the Alexandria database.

Electronic total energy = -35.9 eV per cell
Magnetic moment = 14.1 Bohr magnetons per cell
Energy of formation = -314 meV per atom
Space-group type = I4mm

Unit cell a=4.3465 b=4.3465 c=9.3309 alpha=90.00 beta=90.00 gamma=90.00
Fractional positions:
Eu1 0.0000 0.0000 0.0000
Eu2 0.5000 0.5000 0.5000
Ag1 0.0000 0.0000 0.6630
Ag2 0.5000 0.5000 0.1630
Bi1 0.0000 0.0000 0.3417
Bi2 0.5000 0.5000 0.8417

---

First-principles (PBE) data for crystalline EuAgBi2 at its relaxed geometry, as listed in the Alexandria database.

Electronic total energy = -61.9 eV per cell
Magnetic moment = 22.9 Bohr magnetons per cell
Energy of formation = 64 meV per atom
E above lowest polymorph = 1.87 eV per formula unit
Space-group type = R-3m

Unit cell a=3.5927 b=3.5927 c=33.4610 alpha=90.00 beta=90.00 gamma=120.00
Fractional positions:
Eu1 0.0000 0.0000 0.0000
Eu2 0.3333 0.6667 0.6667
Eu3 0.6667 0.3333 0.3333
Ag1 0.0000 0.0000 0.5000
Ag2 0.3333 0.6667 0.1667
Ag3 0.6667 0.3333 0.8333
Bi1 0.0000 0.0000 0.0984
Bi2 0.0000 0.0000 0.9016
Bi3 0.3333 0.6667 0.5683
Bi4 0.3333 0.6667 0.7651
Bi5 0.6667 0.3333 0.2349
Bi6 0.6667 0.3333 0.4317

---

First-principles (PBE) data for crystalline EuAgBi2 at its relaxed geometry, as listed in the Alexandria database.

Electronic total energy = -87.4 eV per cell
Magnetic moment = 27.9 Bohr magnetons per cell
Energy of formation = -243 meV per atom
E above lowest polymorph = 0.65 eV per formula unit
Space-group type = Fm-3m

Unit cell a=7.7205 b=7.7205 c=7.7205 alpha=90.00 beta=90.00 gamma=90.00
Fractional positions:
Eu1 0.0000 0.0000 0.0000
Eu2 0.0000 0.5000 0.5000
Eu3 0.5000 0.0000 0.5000
Eu4 0.5000 0.5000 0.0000
Ag1 0.0000 0.0000 0.5000
Ag2 0.0000 0.5000 0.0000
Ag3 0.5000 0.0000 0.0000
Ag4 0.5000 0.5000 0.5000
Bi1 0.2500 0.2500 0.2500
Bi2 0.2500 0.2500 0.7500
Bi3 0.2500 0.7500 0.2500
Bi4 0.2500 0.7500 0.7500
Bi5 0.7500 0.2500 0.2500
Bi6 0.7500 0.2500 0.7500
Bi7 0.7500 0.7500 0.2500
Bi8 0.7500 0.7500 0.7500

---

First-principles (PBE) data for crystalline EuAgBi2 at its relaxed geometry, as listed in the Alexandria database.

Electronic total energy = -22.5 eV per cell
Magnetic moment = 6.9 Bohr magnetons per cell
Energy of formation = -404 meV per atom
E above lowest polymorph = 0.00 eV per formula unit
Space-group type = P4/mmm

Unit cell a=4.9684 b=4.9684 c=4.5421 alpha=90.00 beta=90.00 gamma=90.00
Fractional positions:
Eu1 0.0000 0.0000 0.0000
Ag1 0.5000 0.5000 0.0000
Bi1 0.0000 0.5000 0.5000
Bi2 0.5000 0.0000 0.5000

---

First-principles (PBE) data for crystalline EuAgBi at its relaxed geometry, as listed in the Alexandria database.

Electronic total energy = -18.5 eV per cell
Magnetic moment = 7.0 Bohr magnetons per cell
Energy of formation = -503 meV per atom
Space-group type = P3m1

Unit cell a=4.8554 b=4.8554 c=4.3961 alpha=90.00 beta=90.00 gamma=120.00
Fractional positions:
Eu1 0.0000 0.0000 0.0000
Ag1 0.3333 0.6667 0.4613
Bi1 0.6667 0.3333 0.5240

---

First-principles (PBE) data for crystalline EuAgHgBi at its relaxed geometry, as listed in the Alexandria database.

Electronic total energy = -75.5 eV per cell
Magnetic moment = 27.9 Bohr magnetons per cell
Energy of formation = -391 meV per atom
Space-group type = F-43m

Unit cell a=7.5270 b=7.5270 c=7.5270 alpha=90.00 beta=90.00 gamma=90.00
Fractional positions:
Eu1 0.0000 0.0000 0.0000
Eu2 0.0000 0.5000 0.5000
Eu3 0.5000 0.0000 0.5000
Eu4 0.5000 0.5000 0.0000
Ag1 0.0000 0.0000 0.5000
Ag2 0.0000 0.5000 0.0000
Ag3 0.5000 0.0000 0.0000
Ag4 0.5000 0.5000 0.5000
Hg1 0.2500 0.2500 0.2500
Hg2 0.2500 0.7500 0.7500
Hg3 0.7500 0.2500 0.7500
Hg4 0.7500 0.7500 0.2500
Bi1 0.2500 0.2500 0.7500
Bi2 0.2500 0.7500 0.2500
Bi3 0.7500 0.2500 0.2500
Bi4 0.7500 0.7500 0.7500

---

> Among the records above, which one has the lowest energy of formation?

number 5

---

> The lowest energy of formation belongs to which entry?

number 5

---

> electronic total energy of number 3 (EuAgBi2)?

-87.4 eV per cell

---

> Look up the magnetic moment of the fifth one.

7.0 Bohr magnetons per cell